Entry from Alexandria: an optimized crystal structure of Ba2MgIn12Cu3 (GGA-PBE).

Its crystal system is trigonal. For the formation energy, the calculation gives 0.037 eV/atom. For the total magnetization, the calculation gives 0.000 μB/atom. Its density of states at the Fermi level is 0.402 states/eV per atom.

```
Ba2MgIn12Cu3
1.0
4.917 2.839 6.605
-4.917 2.839 6.605
0.000 -5.678 6.605
Ba Mg In Cu
2 1 12 3
Direct
0.093 0.093 0.093 Ba
0.907 0.907 0.907 Ba
0.500 0.500 0.500 Mg
0.119 0.639 0.639 In
0.228 0.228 0.612 In
0.228 0.612 0.228 In
0.361 0.361 0.881 In
0.361 0.881 0.361 In
0.388 0.772 0.772 In
0.612 0.228 0.228 In
0.639 0.119 0.639 In
0.639 0.639 0.119 In
0.772 0.388 0.772 In
0.772 0.772 0.388 In
0.881 0.361 0.361 In
0.000 0.500 0.500 Cu
0.500 0.000 0.500 Cu
0.500 0.500 0.000 Cu
```